Entry 1:
A plane-wave DFT calculation with PBE was carried out for a geometry-optimized SrIrN2O structure.

abc: 5.5180 5.5431 6.1171
angles: 89.71 63.42 60.21
Last column: nearest neighbours and their distance in Å.
Atoms (fractional coordinates):
Sr  0.0000  0.0000  0.0000  4 N 2.48-2.60, 2 O 2.50-2.55
Sr  0.4861  0.2627  0.7752  2 O 2.37-2.39, 1 N 2.51
Ir  0.0612  0.4579  0.3981  4 N 1.90-2.01
Ir  0.4280  0.7761  0.3808  4 N 1.88-2.00
N  0.2667  0.0749  0.2089  2 Ir 1.90-2.00
N  0.4603  0.4691  0.2114  2 Ir 1.88-2.01
N  0.5896  0.6417  0.6209  2 Ir 1.97-2.00
N  0.8851  0.6439  0.1850  2 Ir 1.95-1.96
O  0.1874  0.1917  0.6311  2 Ir 2.13-2.14, 1 Sr 2.37
O  0.9893  0.8080  0.6280  2 Ir 2.12-2.16

Output
Its raw total energy is -6.820 eV/atom. Its space group is No. 1.


Entry 2:
A plane-wave DFT calculation with PBE was carried out for a geometry-optimized Sr2IrN2O2 structure.

abc: 7.0546 7.0546 7.0546
angles: 148.94 146.96 45.98
Last column: nearest neighbours and their distance in Å.
Atoms (fractional coordinates):
Sr  0.0000  0.0000  0.0000  1 O 2.39
Sr  0.2987  0.2987  0.0000  6 O 2.54-2.76, 3 N 2.54-2.77
Ir  0.6446  0.6446  0.0000  3 N 1.89-1.96, 2 O 2.03
N  0.4939  0.4939  0.0000  1 Ir 1.96
N  0.6521  0.1521  0.5000  2 Ir 1.89
O  0.1684  0.6684  0.5000  2 Ir 2.03
O  0.8159  0.8159  0.0000  1 Ir 2.23, 1 Sr 2.39

Output
Its raw total energy is -6.520 eV/atom. Its space group is No. 44.


Entry 3:
A plane-wave DFT calculation with PBE was carried out for a geometry-optimized SrIrNO structure.

abc: 6.4807 7.3935 5.0753
angles: 90.00 90.00 90.00
Last column: nearest neighbours and their distance in Å.
Atoms (fractional coordinates):
Sr  0.0694  0.1668  0.0000  4 O 2.44-2.62
Sr  0.4306  0.1668  0.5000  4 O 2.44-2.62
Sr  0.5694  0.8332  0.0000  4 O 2.44-2.62
Sr  0.9306  0.8332  0.5000  4 O 2.44-2.62
Ir  0.1454  0.6191  0.0196  3 N 1.90-2.09
Ir  0.3546  0.6191  0.5196  3 N 1.90-2.09
Ir  0.6454  0.3809  0.0196  3 N 1.90-2.09
Ir  0.8546  0.3809  0.5196  3 N 1.90-2.09
N  0.1187  0.5061  0.6709  3 Ir 1.90-2.09
N  0.3813  0.5061  0.1709  3 Ir 1.90-2.09
N  0.6187  0.4939  0.6709  3 Ir 1.90-2.09
N  0.8813  0.4939  0.1709  3 Ir 1.90-2.09
O  0.0496  0.1466  0.4853  1 Ir 2.15
O  0.4504  0.1466  0.9853  1 Ir 2.15
O  0.5496  0.8534  0.4853  1 Ir 2.15
O  0.9504  0.8534  0.9853  1 Ir 2.15

Output
Its raw total energy is -6.872 eV/atom. Its space group is No. 29.


Entry 4:
A plane-wave DFT calculation with PBE was carried out for a geometry-optimized SrIrN2O structure.

abc: 7.5171 5.8036 5.8126
angles: 90.00 90.00 90.00
Last column: nearest neighbours and their distance in Å.
Atoms (fractional coordinates):
Sr  0.0000  0.2004  0.0000  4 O 2.45-2.56
Sr  0.0000  0.7996  0.5000  4 O 2.45-2.56
Sr  0.5000  0.2135  0.9411  4 N 2.45-2.71, 2 O 2.62
Sr  0.5000  0.7865  0.4411  4 N 2.45-2.71, 2 O 2.62
Ir  0.2526  0.2974  0.4754  4 N 1.90-1.94
Ir  0.2526  0.7026  0.9754  4 N 1.90-1.94
Ir  0.7474  0.2974  0.4754  4 N 1.90-1.94
Ir  0.7474  0.7026  0.9754  4 N 1.90-1.94
N  0.0000  0.3121  0.4663  2 Ir 1.90
N  0.0000  0.6879  0.9663  2 Ir 1.90
N  0.3016  0.4618  0.1914  2 Ir 1.91-1.94
N  0.3016  0.5382  0.6914  2 Ir 1.91-1.94
N  0.5000  0.2074  0.4749  2 Ir 1.93
N  0.5000  0.7926  0.9749  2 Ir 1.93
N  0.6984  0.4618  0.1914  2 Ir 1.91-1.94
N  0.6984  0.5382  0.6914  2 Ir 1.91-1.94
O  0.2214  0.0384  0.7352  1 Ir 2.14
O  0.2214  0.9616  0.2352  1 Ir 2.14
O  0.7786  0.0384  0.7352  1 Ir 2.14
O  0.7786  0.9616  0.2352  1 Ir 2.14

Output
Its raw total energy is -6.832 eV/atom. Its space group is No. 26.


Entry 5:
A plane-wave DFT calculation with PBE was carried out for a geometry-optimized SrIrNO structure.

abc: 5.1231 5.1231 4.3252
angles: 90.00 90.00 90.00
Last column: nearest neighbours and their distance in Å.
Atoms (fractional coordinates):
Sr  0.0000  0.5000  0.0000  2 O 2.16
Sr  0.5000  0.0000  0.0000  2 O 2.16
Ir  0.0000  0.0000  0.4997  2 N 2.12-2.21
Ir  0.5000  0.5000  0.4998  2 N 2.13-2.19
N  0.0000  0.0000  0.0096  2 Ir 2.12-2.21
N  0.5000  0.5000  0.9927  2 Ir 2.13-2.19
O  0.0000  0.5000  0.5000  2 Sr 2.16
O  0.5000  0.0000  0.5000  2 Sr 2.16

Output
Its raw total energy is -5.986 eV/atom. Its space group is No. 99.


Entry 6:
A plane-wave DFT calculation with PBE was carried out for a geometry-optimized SrIrNO structure.

abc: 5.7081 8.3051 5.4185
angles: 90.00 90.00 90.00
Last column: nearest neighbours and their distance in Å.
Atoms (fractional coordinates):
Sr  0.0325  0.1698  0.0000  4 N 2.56-2.77, 1 O 2.72
Sr  0.4675  0.1698  0.5000  4 N 2.56-2.77, 1 O 2.72
Sr  0.5325  0.8302  0.0000  4 N 2.56-2.77, 1 O 2.72
Sr  0.9675  0.8302  0.5000  4 N 2.56-2.77, 1 O 2.72
Ir  0.0656  0.6502  0.9858  1 N 1.81
Ir  0.4344  0.6502  0.4858  1 N 1.81
Ir  0.5656  0.3498  0.9858  1 N 1.81
Ir  0.9344  0.3498  0.4858  1 N 1.81
N  0.0026  0.1375  0.4913  1 Ir 1.81
N  0.4974  0.1375  0.9913  1 Ir 1.81
N  0.5026  0.8625  0.4913  1 Ir 1.81
N  0.9974  0.8625  0.9913  1 Ir 1.81
O  0.1174  0.5337  0.6402  3 Ir 2.03-2.22
O  0.3826  0.5337  0.1402  3 Ir 2.03-2.22
O  0.6174  0.4663  0.6402  3 Ir 2.03-2.22
O  0.8826  0.4663  0.1402  3 Ir 2.03-2.22

Output
Its raw total energy is -6.370 eV/atom. Its space group is No. 29.


Entry 7:
A plane-wave DFT calculation with PBE was carried out for a geometry-optimized Sr2IrN2O2 structure.

abc: 7.0214 7.0214 7.0214
angles: 148.17 148.17 45.64
Last column: nearest neighbours and their distance in Å.
Atoms (fractional coordinates):
Sr  0.1488  0.1488  0.0000  1 O 2.43
Sr  0.8512  0.8512  0.0000  1 O 2.43
Ir  0.5000  0.5000  0.0000  4 N 1.93, 2 O 2.12
N  0.0000  0.5000  0.5000  2 Ir 1.93
N  0.5000  0.0000  0.5000  2 Ir 1.93
O  0.3362  0.3362  0.0000  1 Ir 2.12
O  0.6638  0.6638  0.0000  1 Ir 2.12

Output
Its raw total energy is -6.659 eV/atom. Its space group is No. 139.


Entry 8:
A plane-wave DFT calculation with PBE was carried out for a geometry-optimized SrIrNO structure.

abc: 5.0968 5.0968 4.4615
angles: 90.00 90.00 90.00
Last column: nearest neighbours and their distance in Å.
Atoms (fractional coordinates):
Sr  0.2500  0.7500  0.0000  2 O 2.23
Sr  0.7500  0.2500  0.0000  2 O 2.23
Ir  0.2500  0.2500  0.4749  1 N 1.93
Ir  0.7500  0.7500  0.5251  1 N 1.93
N  0.2500  0.2500  0.0424  1 Ir 1.93
N  0.7500  0.7500  0.9576  1 Ir 1.93
O  0.2500  0.7500  0.5000  2 Sr 2.23
O  0.7500  0.2500  0.5000  2 Sr 2.23

Output
Its raw total energy is -5.981 eV/atom. Its space group is No. 129.


Entry 9:
A plane-wave DFT calculation with PBE was carried out for a geometry-optimized SrIrNO structure.

abc: 3.8997 3.8997 8.7645
angles: 90.00 90.00 90.00
Last column: nearest neighbours and their distance in Å.
Atoms (fractional coordinates):
Sr  0.2500  0.2500  0.1497  4 O 2.35
Sr  0.7500  0.7500  0.8503  4 O 2.35
Ir  0.2500  0.7500  0.5000  4 N 2.12
Ir  0.7500  0.2500  0.5000  4 N 2.12
N  0.2500  0.2500  0.5955  4 Ir 2.12
N  0.7500  0.7500  0.4045  4 Ir 2.12
O  0.2500  0.7500  0.0000  4 Sr 2.35
O  0.7500  0.2500  0.0000  4 Sr 2.35

Output
Its raw total energy is -6.499 eV/atom. Its space group is No. 129.


Entry 10:
A plane-wave DFT calculation with PBE was carried out for a geometry-optimized SrIrNO structure.

abc: 3.7126 5.9109 5.4822
angles: 90.00 90.00 90.00
Last column: nearest neighbours and their distance in Å.
Atoms (fractional coordinates):
Sr  0.0000  0.1745  0.0000  4 O 2.49-2.66, 1 N 2.76
Sr  0.0000  0.8255  0.5000  4 O 2.49-2.66, 1 N 2.76
Ir  0.5000  0.3520  0.4914  2 N 1.86, 1 O 2.04
Ir  0.5000  0.6480  0.9914  2 N 1.86, 1 O 2.04
N  0.0000  0.3592  0.4778  2 Ir 1.86
N  0.0000  0.6408  0.9778  2 Ir 1.86
O  0.5000  0.0768  0.7160  1 Ir 2.04
O  0.5000  0.9232  0.2160  1 Ir 2.04

Output
Its raw total energy is -6.870 eV/atom. Its space group is No. 26.


Entry 11:
A plane-wave DFT calculation with PBE was carried out for a geometry-optimized Sr2TaIrN4O2 structure.

abc: 5.6739 5.6786 7.9383
angles: 89.90 89.90 89.69
Last column: nearest neighbours and their distance in Å.
Atoms (fractional coordinates):
Sr  0.0000  0.0000  0.0000  3 O 2.55-2.85, 5 N 2.74-2.86
Sr  0.0071  0.9962  0.4975  3 O 2.61-2.90, 6 N 2.73-2.90
Sr  0.5048  0.4967  0.0012  3 O 2.69-2.94, 8 N 2.70-2.95
Sr  0.5124  0.5013  0.5024  3 O 2.61-2.81, 6 N 2.73-2.85
Ta  0.0123  0.5065  0.7508  5 N 1.97-2.09, 1 O 2.04
Ta  0.5108  0.0011  0.2516  3 N 1.97-2.02, 3 O 2.02-2.06
Ir  0.4934  0.9895  0.7518  5 N 1.91-1.98, 1 O 2.14
Ir  0.9960  0.4829  0.2516  3 N 1.90-1.94, 2 O 2.01
N  0.0057  0.5184  0.0142  1 Ir 1.90, 1 Ta 2.09
N  0.0137  0.4782  0.4907  1 Ir 1.90, 1 Ta 2.07
N  0.2565  0.2409  0.7629  1 Ir 1.96, 1 Ta 2.04
N  0.2619  0.7470  0.7446  1 Ir 1.91, 1 Ta 1.97
N  0.5012  0.0203  0.5061  1 Ir 1.96, 1 Ta 2.02
N  0.5129  0.9773  0.9974  1 Ir 1.95, 1 Ta 2.02
N  0.7379  0.2612  0.2450  1 Ir 1.94, 1 Ta 1.97
N  0.7586  0.7632  0.7402  1 Ir 1.98, 1 Ta 2.04
O  0.2228  0.2106  0.2344  1 Ir 2.01, 1 Ta 2.02
O  0.2841  0.7198  0.2624  1 Ta 2.06, 1 Ir 2.12
O  0.7497  0.2630  0.7634  1 Ta 2.04, 1 Ir 2.14
O  0.7757  0.7599  0.2708  1 Ir 2.01, 1 Ta 2.03

Output
Its raw total energy is -7.704 eV/atom. Its space group is No. 1.


Entry 12:
A plane-wave DFT calculation with PBE was carried out for a geometry-optimized Sr2TaIrN4O2 structure.

abc: 5.6560 5.6750 7.9867
angles: 89.68 89.87 89.20
Last column: nearest neighbours and their distance in Å.
Atoms (fractional coordinates):
Sr  0.0000  0.0000  0.0000  4 O 2.63-2.93, 5 N 2.72-2.88
Sr  0.0033  0.9996  0.5017  2 O 2.60-2.64, 8 N 2.77-2.89
Sr  0.5182  0.4714  0.9995  4 O 2.60-2.91, 6 N 2.71-2.91
Sr  0.5212  0.4713  0.5036  3 O 2.71-2.79, 8 N 2.75-2.95
Ta  0.0211  0.4881  0.2452  5 N 1.98-2.10, 1 O 2.06
Ta  0.5076  0.9800  0.7503  3 N 1.98-1.99, 3 O 2.02-2.09
Ir  0.0161  0.5177  0.7476  4 N 1.88-1.98, 1 O 2.10
Ir  0.4992  0.9668  0.2644  4 N 1.89-1.94, 1 O 2.10
N  0.0300  0.4908  0.5083  1 Ir 1.92, 1 Ta 2.10
N  0.2457  0.7533  0.7634  1 Ir 1.88, 1 Ta 1.98
N  0.2633  0.7373  0.2424  1 Ir 1.89, 1 Ta 1.98
N  0.2769  0.2280  0.2460  1 Ir 1.94, 1 Ta 2.05
N  0.4931  0.9790  0.5021  1 Ir 1.90, 1 Ta 1.98
N  0.7510  0.7232  0.7459  1 Ir 1.89, 1 Ta 1.99
N  0.7534  0.7414  0.2569  1 Ir 1.91, 1 Ta 2.08
N  0.9976  0.4808  0.9935  1 Ir 1.98, 1 Ta 2.02
O  0.2893  0.2644  0.7609  1 Ta 2.02, 1 Ir 2.10
O  0.5351  0.9980  0.0029  1 Ta 2.03, 1 Ir 2.10
O  0.7691  0.2309  0.2658  1 Ta 2.06, 1 Ir 2.15
O  0.7830  0.2205  0.7421  1 Ta 2.09, 1 Ir 2.16

Output
Its raw total energy is -7.745 eV/atom. Its space group is No. 1.